CoAgIr2 PBE relaxed; calculated volume = 116.9 Å³/cell; energy of formation from the pure elements = 0.3471 eV per atom; ΔE to the lowest computed polymorph = 151 meV per atom
1.0
8.996 0.000 0.000
0.000 2.745 0.000
-0.853 0.000 4.732
Co Ag Ir
2 2 4
direct
0.000 0.000 0.000
0.500 0.500 0.000
0.244 0.000 0.762
0.744 0.500 0.762
0.237 0.500 0.259
0.483 0.000 0.455
0.737 0.000 0.259
0.983 0.500 0.455

---

CoAg4Ir PBE relaxed; calculated volume = 104.1 Å³/cell; energy of formation from the pure elements = 0.7855 eV per atom
1.0
0.000 3.734 3.734
3.734 0.000 3.734
3.734 3.734 0.000
Co Ag Ir
1 4 1
direct
0.000 0.000 0.000
0.125 0.625 0.625
0.625 0.125 0.625
0.625 0.625 0.125
0.625 0.625 0.625
0.250 0.250 0.250

---

no.,Fermi-level density of states (states/eV/cell)
1,12.6
2,7.4